Record 1
PmCoAs after structural relaxation, computed with PBE-GGA.

abc: 4.0860 4.0755 4.0755
angles: 120.00 90.00 90.00
Last column: nearest neighbours and their distance in Å.
Atoms (fractional coordinates):
As  0.1667  0.0000  0.0000  3 Co 2.35
Co  0.1665  0.3333  0.6667  3 As 2.35
Pm  0.6667  0.6667  0.3333  6 Co 3.12, 6 As 3.12

Properties
E_form: -824 meV/atom
Excess energy over the best structure of this formula in the dataset: 0 meV per atom



Record 2
Pu3HfU2P6 after structural relaxation, computed with PBE-GGA.

abc: 6.7931 6.7931 6.7940
angles: 99.58 99.58 119.92
Last column: nearest neighbours and their distance in Å.
Atoms (fractional coordinates):
P  0.4050  0.0792  0.2389  1 Hf 2.69, 2 U 2.76, 3 Pu 2.79-2.84
P  0.7556  0.7556  0.2422  1 Hf 2.70, 2 U 2.76, 3 Pu 2.80-2.85
P  0.2444  0.2444  0.7578  1 Hf 2.70, 2 U 2.76, 3 Pu 2.80-2.85
P  0.0792  0.4050  0.2389  1 Hf 2.69, 2 U 2.76, 3 Pu 2.79-2.84
P  0.9208  0.5950  0.7611  1 Hf 2.69, 2 U 2.76, 3 Pu 2.79-2.84
P  0.5950  0.9208  0.7611  1 Hf 2.69, 2 U 2.76, 3 Pu 2.79-2.84
Pu  0.1683  0.8317  0.5000  6 P 2.79-2.84
Pu  0.8317  0.1683  0.5000  6 P 2.79-2.84
Pu  0.5000  0.5000  0.5000  6 P 2.80-2.85
U  0.6660  0.3340  0.0000  6 P 2.76
U  0.3340  0.6660  0.0000  6 P 2.76
Hf  0.0000  0.0000  0.0000  6 P 2.69-2.70

Properties
E_form: -1135 meV/atom



Record 3
CePmHoPb after structural relaxation, computed with PBE-GGA.

abc: 5.4838 5.4838 5.4838
angles: 60.00 60.00 60.00
Last column: nearest neighbours and their distance in Å.
Atoms (fractional coordinates):
Ce  0.7500  0.7500  0.7500  4 Ho 3.36, 4 Pm 3.36
Pm  0.5000  0.5000  0.5000  4 Pb 3.36, 4 Ce 3.36
Ho  0.0000  0.0000  0.0000  4 Ce 3.36, 4 Pb 3.36
Pb  0.2500  0.2500  0.2500  4 Ho 3.36, 4 Pm 3.36

Properties
E_form: -66 meV/atom



Record 4
CaTlSn2Os after structural relaxation, computed with PBE-GGA.

abc: 5.1579 5.5538 5.1579
angles: 90.00 90.00 90.00
Last column: nearest neighbours and their distance in Å.
Atoms (fractional coordinates):
Os  0.0000  0.0000  0.0000  4 Sn 2.58, 2 Ca 2.78
Sn  0.0000  0.0000  0.5000  2 Os 2.58
Sn  0.5000  0.0000  0.0000  2 Os 2.58
Ca  0.0000  0.5000  0.0000  2 Os 2.78
Tl  0.5000  0.5000  0.5000  4 Ca 3.65, 8 Sn 3.79

Properties
E_form: 68 meV/atom



Record 5
Pu2SiAu after structural relaxation, computed with PBE-GGA.

abc: 5.1792 3.5895 3.5895
angles: 90.00 90.00 90.00
Last column: nearest neighbours and their distance in Å.
Atoms (fractional coordinates):
Au  0.5000  0.5000  0.5000  4 Si 2.54
Si  0.5000  0.0000  0.0000  4 Au 2.54
Pu  0.0000  0.0000  0.5000  4 Pu 2.54
Pu  0.0000  0.5000  0.0000  4 Pu 2.54

Properties
E_form (uncorrected): 0.0908 eV per atom



Record 6
Pm2Tm2Tl7 after structural relaxation, computed with PBE-GGA.

abc: 6.8682 7.9288 6.8682
angles: 90.00 104.39 90.00
Last column: nearest neighbours and their distance in Å.
Atoms (fractional coordinates):
Tl  0.0000  0.0000  0.0000  2 Pm 3.30
Tl  0.9998  0.2990  0.5003  2 Tm 3.18, 3 Tl 3.19-3.43, 2 Pm 3.22-3.23
Tl  0.4998  0.2954  0.5002  2 Tm 3.04, 2 Pm 3.16, 1 Tl 3.24
Tl  0.4997  0.2990  0.0002  2 Tm 3.18, 3 Tl 3.19-3.43, 2 Pm 3.22-3.23
Tl  0.5002  0.7046  0.4998  2 Tm 3.04, 2 Pm 3.16, 1 Tl 3.24
Tl  0.5003  0.7010  0.9998  2 Tm 3.18, 3 Tl 3.19-3.43, 2 Pm 3.22-3.23
Tl  0.0002  0.7010  0.4997  2 Tm 3.18, 3 Tl 3.19-3.43, 2 Pm 3.22-3.23
Pm  0.6955  0.0000  0.3045  7 Tl 3.16-3.30
Pm  0.3045  0.0000  0.6955  7 Tl 3.16-3.30
Tm  0.1945  0.5000  0.1945  6 Tl 3.04-3.18, 1 Tm 3.28
Tm  0.8055  0.5000  0.8055  6 Tl 3.04-3.18, 1 Tm 3.28

Properties
E_form: 59 meV/atom



Record 7
HoEr2Pu after structural relaxation, computed with PBE-GGA.

abc: 3.5098 3.5098 11.4329
angles: 81.17 81.17 60.00
Last column: nearest neighbours and their distance in Å.
Atoms (fractional coordinates):
Er  0.0826  0.0826  0.7523  3 Pu 3.46, 3 Ho 3.50, 6 Er 3.51
Er  0.2508  0.2508  0.2476  3 Pu 3.43, 3 Ho 3.47-3.48, 6 Er 3.51
Ho  0.5005  0.5005  0.4985  6 Er 3.47-3.50, 6 Ho 3.51
Pu  0.6661  0.6661  0.0016  6 Er 3.43-3.46, 6 Pu 3.51

Properties
E_form: 86 meV/atom
Excess energy over the best structure of this formula in the dataset: 0 meV per atom



Record 8
LiNdZrOs after structural relaxation, computed with PBE-GGA.

abc: 4.8628 4.8628 4.8628
angles: 60.00 60.00 60.00
Last column: nearest neighbours and their distance in Å.
Atoms (fractional coordinates):
Zr  0.2500  0.2500  0.2500  4 Os 2.98, 4 Li 2.98
Li  0.0000  0.0000  0.0000  4 Zr 2.98, 4 Nd 2.98
Os  0.5000  0.5000  0.5000  4 Nd 2.98, 4 Zr 2.98
Nd  0.7500  0.7500  0.7500  4 Os 2.98, 4 Li 2.98

Properties
E_form: -93 meV/atom



What magnetization values result from the calculations? In sequence: 0.61 19.60 0.59 0.00 0.00 0.00 5.84 0.00 μB per cell.